First-principles (PBE-GGA) data for an optimized crystal structure of CrInOs2, as listed in the Alexandria database. Values from VASP.

```
&SYSTEM
  ibrav = 0, nat = 4, ntyp = 3
/
ATOMIC_SPECIES
Cr 52.00 Cr.upf
In 114.82 In.upf
Os 190.23 Os.upf
CELL_PARAMETERS angstrom
4.020 0.000 0.000
0.000 4.020 0.000
0.000 0.000 3.832
ATOMIC_POSITIONS crystal
Cr 0.000 0.000 0.000
In 0.500 0.500 0.000
Os 0.000 0.500 0.500
Os 0.500 0.000 0.500
```

Output
Calculated density, g/cm3: 14.676
Calculated formation energy, eV per atom: 0.5351

---

First-principles (PBE-GGA) data for an optimized crystal structure of Cr2InOs, as listed in the Alexandria database. Values from VASP.

```
&SYSTEM
  ibrav = 0, nat = 4, ntyp = 3
/
ATOMIC_SPECIES
Cr 52.00 Cr.upf
In 114.82 In.upf
Os 190.23 Os.upf
CELL_PARAMETERS angstrom
4.485 0.000 0.000
0.000 4.485 0.000
0.000 0.000 3.024
ATOMIC_POSITIONS crystal
Cr 0.000 0.500 0.000
Cr 0.500 0.000 0.000
In 0.000 0.000 0.500
Os 0.500 0.500 0.500
```

Output
Calculated density, g/cm3: 11.168
Calculated formation energy, eV per atom: 0.4674

---

First-principles (PBE-GGA) data for an optimized crystal structure of Cr2InOs, as listed in the Alexandria database. Values from VASP.

```
&SYSTEM
  ibrav = 0, nat = 4, ntyp = 3
/
ATOMIC_SPECIES
Cr 52.00 Cr.upf
In 114.82 In.upf
Os 190.23 Os.upf
CELL_PARAMETERS angstrom
1.391 0.803 8.817
-1.391 0.803 8.817
0.000 -1.606 8.817
ATOMIC_POSITIONS crystal
Cr 0.244 0.244 0.244
Cr 0.756 0.756 0.756
In 0.000 0.000 0.000
Os 0.500 0.500 0.500
```

Output
Calculated density, g/cm3: 11.501
Calculated formation energy, eV per atom: 0.4919

---

First-principles (PBE-GGA) data for an optimized crystal structure of CrInOs2, as listed in the Alexandria database. Values from VASP.

```
&SYSTEM
  ibrav = 0, nat = 4, ntyp = 3
/
ATOMIC_SPECIES
Cr 52.00 Cr.upf
In 114.82 In.upf
Os 190.23 Os.upf
CELL_PARAMETERS angstrom
4.626 -1.445 0.000
4.626 1.445 0.000
-0.964 0.000 4.689
ATOMIC_POSITIONS crystal
Cr 0.000 0.000 0.000
In 0.764 0.764 0.270
Os 0.262 0.262 0.769
Os 0.524 0.524 0.572
```

Output
Calculated density, g/cm3: 14.500
Calculated formation energy, eV per atom: 0.4382

---

First-principles (PBE-GGA) data for an optimized crystal structure of Cr2InOs2, as listed in the Alexandria database. Values from VASP.

```
&SYSTEM
  ibrav = 0, nat = 10, ntyp = 3
/
ATOMIC_SPECIES
Cr 52.00 Cr.upf
In 114.82 In.upf
Os 190.23 Os.upf
CELL_PARAMETERS angstrom
7.392 0.000 0.000
0.000 7.392 0.000
0.000 0.000 2.762
ATOMIC_POSITIONS crystal
Cr 0.159 0.341 0.000
Cr 0.341 0.841 0.000
Cr 0.659 0.159 0.000
Cr 0.841 0.659 0.000
In 0.000 0.000 0.500
In 0.500 0.500 0.500
Os 0.129 0.629 0.500
Os 0.371 0.129 0.500
Os 0.629 0.871 0.500
Os 0.871 0.371 0.500
```

Output
Calculated density, g/cm3: 13.185
Calculated formation energy, eV per atom: 0.2806

---

First-principles (PBE-GGA) data for an optimized crystal structure of CrInOs2, as listed in the Alexandria database. Values from VASP.

```
&SYSTEM
  ibrav = 0, nat = 4, ntyp = 3
/
ATOMIC_SPECIES
Cr 52.00 Cr.upf
In 114.82 In.upf
Os 190.23 Os.upf
CELL_PARAMETERS angstrom
2.833 0.000 0.000
0.000 3.869 0.000
0.000 0.000 5.708
ATOMIC_POSITIONS crystal
Cr 0.000 0.000 0.000
In 0.500 0.500 0.272
Os 0.000 0.000 0.554
Os 0.500 0.500 0.773
```

Output
Calculated density, g/cm3: 14.526
Calculated formation energy, eV per atom: 0.3962